Record 1
HfW4 | PBE | relaxed

a b c (Å): 4.7014 4.7014 4.7014
angles (deg): 90.00 90.00 90.00
With the nearest neighbours (Å) after each atom.
Positions (direct):
Hf 0.0000 0.0000 0.0000  6 W 2.35
W 0.0000 0.0000 0.5000  2 Hf 2.35
W 0.0000 0.5000 0.0000  2 Hf 2.35
W 0.5000 0.0000 0.0000  2 Hf 2.35
W 0.5000 0.5000 0.5000  12 W 3.32

Properties
Its crystal system is cubic. As for the symmetry: No. 221.

=====

Record 2
HfW | PBE | relaxed

a b c (Å): 6.6779 6.4206 5.6043
angles (deg): 67.07 62.31 50.62
With the nearest neighbours (Å) after each atom.
Positions (direct):
Hf 0.0620 0.6880 0.0620  6 W 2.73-2.95
Hf 0.3120 0.9380 0.3120  6 W 2.73-2.95
Hf 0.6880 0.0620 0.6880  6 W 2.73-2.95
Hf 0.9380 0.3120 0.9380  6 W 2.73-2.95
W 0.2089 0.5411 0.5411  1 W 2.49, 2 Hf 2.73
W 0.4589 0.7911 0.7911  1 W 2.49, 2 Hf 2.73
W 0.5411 0.2089 0.2089  1 W 2.49, 2 Hf 2.73
W 0.7911 0.4589 0.4589  1 W 2.49, 2 Hf 2.73

Properties
Its crystal system is orthorhombic. As for the symmetry: No. 70.

=====

Record 3
HfW | PBE | relaxed

a b c (Å): 7.5386 7.5386 7.5386
angles (deg): 90.00 90.00 90.00
With the nearest neighbours (Å) after each atom.
Positions (direct):
Hf 0.0000 0.2500 0.5000  4 W 2.67
Hf 0.0000 0.7500 0.5000  4 W 2.67
Hf 0.2500 0.5000 0.0000  4 W 2.67
Hf 0.5000 0.0000 0.2500  4 W 2.67
Hf 0.5000 0.0000 0.7500  4 W 2.67
Hf 0.7500 0.5000 0.0000  4 W 2.67
W 0.0000 0.5000 0.2500  4 Hf 2.67
W 0.0000 0.5000 0.7500  4 Hf 2.67
W 0.2500 0.0000 0.5000  4 Hf 2.67
W 0.5000 0.2500 0.0000  4 Hf 2.67
W 0.5000 0.7500 0.0000  4 Hf 2.67
W 0.7500 0.0000 0.5000  4 Hf 2.67

Properties
Its crystal system is cubic. As for the symmetry: No. 223.

=====

Record 4
HfW | PBE | relaxed

a b c (Å): 7.9428 7.9428 5.1797
angles (deg): 90.00 90.00 90.00
With the nearest neighbours (Å) after each atom.
Positions (direct):
Hf 0.0717 0.2948 0.0000  3 W 2.74-2.99, 2 Hf 2.83
Hf 0.0717 0.7052 0.5000  3 W 2.74-2.99, 2 Hf 2.83
Hf 0.2948 0.0717 0.5000  3 W 2.74-2.99, 2 Hf 2.83
Hf 0.2948 0.9283 0.0000  3 W 2.74-2.99, 2 Hf 2.83
Hf 0.7052 0.0717 0.0000  3 W 2.74-2.99, 2 Hf 2.83
Hf 0.7052 0.9283 0.5000  3 W 2.74-2.99, 2 Hf 2.83
Hf 0.9283 0.2948 0.5000  3 W 2.74-2.99, 2 Hf 2.83
Hf 0.9283 0.7052 0.0000  3 W 2.74-2.99, 2 Hf 2.83
W 0.2842 0.4167 0.5000  4 W 2.60-2.91, 2 Hf 2.74-2.85
W 0.2842 0.5833 0.0000  4 W 2.60-2.91, 2 Hf 2.74-2.85
W 0.4167 0.2842 0.0000  4 W 2.60-2.91, 2 Hf 2.74-2.85
W 0.4167 0.7158 0.5000  4 W 2.60-2.91, 2 Hf 2.74-2.85
W 0.5833 0.2842 0.5000  4 W 2.60-2.91, 2 Hf 2.74-2.85
W 0.5833 0.7158 0.0000  4 W 2.60-2.91, 2 Hf 2.74-2.85
W 0.7158 0.4167 0.0000  4 W 2.60-2.91, 2 Hf 2.74-2.85
W 0.7158 0.5833 0.5000  4 W 2.60-2.91, 2 Hf 2.74-2.85

Properties
Its crystal system is tetragonal. As for the symmetry: No. 124.

=====

Record 5
YHfW4 | PBE | relaxed

a b c (Å): 5.4659 5.4659 5.4659
angles (deg): 60.00 60.00 60.00
With the nearest neighbours (Å) after each atom.
Positions (direct):
Y 0.0000 0.0000 0.0000  12 W 3.20, 4 Hf 3.35
Hf 0.7500 0.7500 0.7500  12 W 3.20, 4 Y 3.35
W 0.3749 0.3749 0.3749  6 W 2.73-2.74
W 0.3749 0.3749 0.8754  6 W 2.73-2.74
W 0.3749 0.8754 0.3749  6 W 2.73-2.74
W 0.8754 0.3749 0.3749  6 W 2.73-2.74

Properties
Its crystal system is cubic. As for the symmetry: No. 216.

=====

Record 6
YHf2W | PBE | relaxed

a b c (Å): 10.6504 10.6504 10.6504
angles (deg): 156.83 156.83 33.01
With the nearest neighbours (Å) after each atom.
Positions (direct):
Y 0.0000 0.0000 0.0000  4 Hf 3.00, 4 W 3.03
Y 0.7500 0.2500 0.5000  4 Hf 3.00, 4 W 3.03
Hf 0.1426 0.6250 0.0176  4 Hf 2.92-3.13, 2 W 2.94, 2 Y 3.00
Hf 0.3750 0.3926 0.5176  4 Hf 2.92-3.13, 2 W 2.94, 2 Y 3.00
Hf 0.6074 0.1250 0.9824  4 Hf 2.92-3.13, 2 W 2.94, 2 Y 3.00
Hf 0.8750 0.8574 0.4824  4 Hf 2.92-3.13, 2 W 2.94, 2 Y 3.00
W 0.2500 0.7500 0.5000  4 Hf 2.94, 4 Y 3.03
W 0.5000 0.5000 0.0000  4 Hf 2.94, 4 Y 3.03

Properties
Its crystal system is tetragonal. As for the symmetry: No. 122. Its offset from the most stable computed form is 496 meV/atom.

=====

Record 7
YHfW3 | PBE | relaxed

a b c (Å): 4.8693 4.8693 4.8693
angles (deg): 90.00 90.00 90.00
With the nearest neighbours (Å) after each atom.
Positions (direct):
Y 0.0000 0.0000 0.0000  12 W 3.44
Hf 0.5000 0.5000 0.5000  6 W 2.43
W 0.0000 0.5000 0.5000  2 Hf 2.43
W 0.5000 0.0000 0.5000  2 Hf 2.43
W 0.5000 0.5000 0.0000  2 Hf 2.43

Properties
Its crystal system is cubic. As for the symmetry: No. 221. Its offset from the most stable computed form is 0 meV/atom.

=====

Record 8
YHf2W | PBE | relaxed

a b c (Å): 4.9489 4.9489 4.9489
angles (deg): 60.00 60.00 60.00
With the nearest neighbours (Å) after each atom.
Positions (direct):
Y 0.0000 0.0000 0.0000  8 Hf 3.03
Hf 0.2500 0.2500 0.2500  4 W 3.03, 4 Y 3.03
Hf 0.7500 0.7500 0.7500  4 W 3.03, 4 Y 3.03
W 0.5000 0.5000 0.5000  8 Hf 3.03

Properties
Its crystal system is cubic. As for the symmetry: No. 225. Its offset from the most stable computed form is 0 meV/atom.

=====

| no. | formation energy from the elements (meV/atom) | calculated total energy (eV/cell) |
| --- | --- | --- |
| 1 | 2750.1 | -48.02 |
| 2 | 749.3 | -85.63 |
| 3 | 2938.7 | -102.18 |
| 4 | 524.1 | -174.87 |
| 5 | 15.6 | -68.14 |
| 6 | 821.0 | -72.08 |
| 7 | 1872.9 | -45.91 |
| 8 | 325.2 | -38.02 |